[1]
# NaZrTiRh2

A relaxed structure of NaZrTiRh2 (GGA-PBE, Alexandria).

Computed properties:
energy relative to the elements: 0.80 eV per atom
SG: P4/mmm (123)
final energy: -5.69 eV/atom

Lattice parameters (Å, degrees): 4.863 4.976 4.863 90.00 90.00 90.00
Fractional positions:
Na 0.500 0.500 0.500
Rh 0.000 0.000 0.500
Rh 0.500 0.000 0.000
Zr 0.000 0.000 0.000
Ti 0.000 0.500 0.000

---

[2]
# Na2TlRh2

A relaxed structure of Na2TlRh2 (GGA-PBE, Alexandria).

Computed properties:
energy relative to the elements: 0.17 eV per atom
SG: P4/mbm (127)
distance to the lowest polymorph of the same formula: 0 meV/atom
final energy: -3.77 eV/atom

Lattice parameters (Å, degrees): 6.775 6.775 4.755 90.00 90.00 90.00
Fractional positions:
Na 0.168 0.668 0.500
Na 0.668 0.832 0.500
Na 0.832 0.332 0.500
Na 0.332 0.168 0.500
Tl 0.000 0.000 0.000
Tl 0.500 0.500 0.000
Rh 0.372 0.872 0.000
Rh 0.872 0.628 0.000
Rh 0.628 0.128 0.000
Rh 0.128 0.372 0.000

---

[3]
# NaTlRh3

A relaxed structure of NaTlRh3 (GGA-PBE, Alexandria).

Computed properties:
energy relative to the elements: 1.27 eV per atom
SG: Pm-3m (221)
distance to the lowest polymorph of the same formula: 0 meV/atom
final energy: -3.88 eV/atom

Lattice parameters (Å, degrees): 5.063 5.063 5.063 90.00 90.00 90.00
Fractional positions:
Na 0.500 0.500 0.500
Tl 0.000 0.000 0.000
Rh 0.000 0.500 0.000
Rh 0.000 0.000 0.500
Rh 0.500 0.000 0.000

---

[4]
# NaTlRh2

A relaxed structure of NaTlRh2 (GGA-PBE, Alexandria).

Computed properties:
energy relative to the elements: 0.54 eV per atom
SG: I-42d (122)
final energy: -4.05 eV/atom

Lattice parameters (Å, degrees): 7.601 7.601 6.039 51.00 51.00 90.00
Fractional positions:
Na 0.500 0.500 0.000
Na 0.250 0.750 0.500
Tl 0.000 0.000 0.000
Tl 0.750 0.250 0.500
Rh 0.648 0.125 0.250
Rh 0.102 0.625 0.250
Rh 0.375 0.352 0.750
Rh 0.875 0.898 0.750

---

[5]
# NaTl3Rh

A relaxed structure of NaTl3Rh (GGA-PBE, Alexandria).

Computed properties:
energy relative to the elements: -0.02 eV per atom
SG: P2_1/c (14)
distance to the lowest polymorph of the same formula: 0 meV/atom
final energy: -3.17 eV/atom

Lattice parameters (Å, degrees): 6.977 8.530 9.264 106.94 90.00 90.00
Fractional positions:
Na 0.756 0.460 0.024
Na 0.244 0.540 0.976
Na 0.256 0.040 0.476
Na 0.744 0.960 0.524
Tl 0.647 0.279 0.301
Tl 0.353 0.721 0.699
Tl 0.147 0.221 0.199
Tl 0.853 0.779 0.801
Tl 0.480 0.661 0.325
Tl 0.520 0.339 0.675
Tl 0.980 0.839 0.175
Tl 0.020 0.161 0.825
Tl 0.007 0.626 0.394
Tl 0.993 0.374 0.606
Tl 0.507 0.874 0.106
Tl 0.493 0.126 0.894
Rh 0.688 0.575 0.555
Rh 0.312 0.425 0.445
Rh 0.188 0.925 0.945
Rh 0.812 0.075 0.055

---

[6]
# NaTlRh3

A relaxed structure of NaTlRh3 (GGA-PBE, Alexandria).

Computed properties:
energy relative to the elements: 1.40 eV per atom
SG: Pm-3m (221)
distance to the lowest polymorph of the same formula: 127 meV/atom
final energy: -3.75 eV/atom

Lattice parameters (Å, degrees): 4.564 4.564 4.564 90.00 90.00 90.00
Fractional positions:
Na 0.000 0.000 0.000
Tl 0.500 0.500 0.500
Rh 0.000 0.500 0.000
Rh 0.000 0.000 0.500
Rh 0.500 0.000 0.000

---

[7]
# NaTl3Rh

A relaxed structure of NaTl3Rh (GGA-PBE, Alexandria).

Computed properties:
energy relative to the elements: -0.01 eV per atom
SG: Pm-3m (221)
distance to the lowest polymorph of the same formula: 10 meV/atom
final energy: -3.16 eV/atom

Lattice parameters (Å, degrees): 5.309 5.309 5.309 90.00 90.00 90.00
Fractional positions:
Na 0.500 0.500 0.500
Tl 0.000 0.500 0.000
Tl 0.000 0.000 0.500
Tl 0.500 0.000 0.000
Rh 0.000 0.000 0.000

---

[8]
# Na16Tl12Rh

A relaxed structure of Na16Tl12Rh (GGA-PBE, Alexandria).

Computed properties:
energy relative to the elements: -0.07 eV per atom
SG: Cm (8)
final energy: -2.03 eV/atom

Lattice parameters (Å, degrees): 10.214 10.214 10.224 108.82 108.82 108.55
Fractional positions:
Na 0.403 0.403 0.301
Na 0.014 0.014 0.023
Na 0.988 0.988 0.643
Na 0.299 0.299 0.709
Na 0.665 0.434 0.033
Na 0.561 0.283 0.571
Na 0.005 0.685 0.422
Na 0.992 0.647 0.000
Na 0.705 0.318 0.296
Na 0.404 0.984 0.676
Na 0.984 0.404 0.676
Na 0.318 0.705 0.296
Na 0.647 0.992 0.000
Na 0.685 0.005 0.422
Na 0.283 0.561 0.571
Na 0.434 0.665 0.033
Tl 0.808 0.808 0.216
Tl 0.633 0.633 0.824
Tl 0.351 0.155 0.963
Tl 0.819 0.624 0.620
Tl 0.187 0.990 0.373
Tl 0.380 0.994 0.184
Tl 0.206 0.777 0.813
Tl 0.777 0.206 0.813
Tl 0.994 0.380 0.184
Tl 0.990 0.187 0.373
Tl 0.624 0.819 0.620
Tl 0.155 0.351 0.963
Rh 0.691 0.691 0.384

---

[9]
# NaTl4Rh

A relaxed structure of NaTl4Rh (GGA-PBE, Alexandria).

Computed properties:
energy relative to the elements: 0.00 eV per atom
SG: C2/c (15)
final energy: -3.03 eV/atom

Lattice parameters (Å, degrees): 5.713 7.823 7.823 106.97 100.69 100.69
Fractional positions:
Na 0.750 0.609 0.391
Na 0.250 0.391 0.609
Tl 0.865 0.646 0.820
Tl 0.076 0.933 0.295
Tl 0.635 0.180 0.354
Tl 0.424 0.705 0.067
Tl 0.576 0.295 0.933
Tl 0.365 0.820 0.646
Tl 0.924 0.067 0.705
Tl 0.135 0.354 0.180
Rh 0.250 0.010 0.990
Rh 0.750 0.990 0.010

---

[10]
# Na3Tl7Rh2

A relaxed structure of Na3Tl7Rh2 (GGA-PBE, Alexandria).

Computed properties:
energy relative to the elements: 0.01 eV per atom
SG: Cmmm (65)
final energy: -2.93 eV/atom

Lattice parameters (Å, degrees): 5.012 4.524 14.128 99.21 90.00 90.00
Fractional positions:
Na 0.500 0.500 0.000
Na 0.000 0.295 0.590
Na 0.000 0.705 0.410
Tl 0.500 0.797 0.595
Tl 0.500 0.203 0.405
Tl 0.000 0.406 0.811
Tl 0.000 0.000 0.000
Tl 0.000 0.594 0.189
Tl 0.500 0.083 0.166
Tl 0.500 0.917 0.834
Rh 0.500 0.357 0.714
Rh 0.500 0.643 0.286